(1)
Crystalline ThIn2Hg2I6 at its relaxed geometry, computed with PBE.

Cell: 8.563 8.563 10.084 Å, 98.98 98.98 120.76°
Sites, in units of the cell vectors:
Th1 0.000 0.000 0.500
In1 0.333 0.667 0.500
In2 0.667 0.333 0.500
Hg1 0.818 0.182 0.000
Hg2 0.182 0.818 0.000
I1 0.769 0.769 0.683
I2 0.070 0.365 0.685
I3 0.231 0.231 0.317
I4 0.365 0.070 0.685
I5 0.930 0.635 0.315
I6 0.635 0.930 0.315

Values from the calculation:
- uncorrected formation energy (eV per atom) = -0.721
- N(E_F) (states/eV/f.u.) = 0.000
- M_tot (Bohr magnetons per cell) = 0.00

(2)
Crystalline TlIn2HgI6 at its relaxed geometry, computed with PBE.

Cell: 11.710 11.710 9.419 Å, 106.01 106.01 91.80°
Sites, in units of the cell vectors:
Tl1 0.512 0.488 0.250
Tl2 0.488 0.512 0.750
In1 0.374 0.167 0.830
In2 0.833 0.626 0.670
In3 0.626 0.833 0.170
In4 0.167 0.374 0.330
Hg1 0.093 0.907 0.250
Hg2 0.907 0.093 0.750
I1 0.925 0.366 0.213
I2 0.634 0.075 0.287
I3 0.075 0.634 0.787
I4 0.366 0.925 0.713
I5 0.273 0.239 0.095
I6 0.761 0.727 0.405
I7 0.727 0.761 0.905
I8 0.239 0.273 0.595
I9 0.301 0.603 0.445
I10 0.397 0.699 0.055
I11 0.699 0.397 0.555
I12 0.603 0.301 0.945

Values from the calculation:
- uncorrected formation energy (eV per atom) = -0.397
- N(E_F) (states/eV/f.u.) = 2.764
- M_tot (Bohr magnetons per cell) = 0.00

(3)
Crystalline Tl2InHgI4 at its relaxed geometry, computed with PBE.

Cell: 4.889 7.500 10.139 Å, 66.87 76.05 70.98°
Sites, in units of the cell vectors:
Tl1 0.807 0.678 0.709
Tl2 0.193 0.322 0.291
In1 0.000 0.000 0.000
Hg1 0.500 0.500 0.500
I1 0.148 0.026 0.677
I2 0.379 0.308 0.935
I3 0.852 0.974 0.323
I4 0.621 0.692 0.065

Values from the calculation:
- uncorrected formation energy (eV per atom) = -0.452
- N(E_F) (states/eV/f.u.) = 3.803
- M_tot (Bohr magnetons per cell) = 0.00

(4)
Crystalline TlInHgI2 at its relaxed geometry, computed with PBE.

Cell: 4.910 8.910 9.886 Å, 94.14 90.00 90.00°
Sites, in units of the cell vectors:
Tl1 0.250 0.806 0.865
Tl2 0.750 0.194 0.135
In1 0.250 0.780 0.365
In2 0.750 0.220 0.635
Hg1 0.250 0.500 0.620
Hg2 0.750 0.500 0.380
I1 0.750 0.856 0.617
I2 0.750 0.813 0.118
I3 0.250 0.144 0.383
I4 0.250 0.187 0.882

Values from the calculation:
- uncorrected formation energy (eV per atom) = -0.426
- N(E_F) (states/eV/f.u.) = 0.000
- M_tot (Bohr magnetons per cell) = 0.00

(5)
Crystalline Tl3In2HgI6 at its relaxed geometry, computed with PBE.

Cell: 4.959 9.841 11.025 Å, 102.77 103.00 90.00°
Sites, in units of the cell vectors:
Tl1 0.500 0.500 0.000
Tl2 0.831 0.165 0.662
Tl3 0.169 0.835 0.338
In1 0.836 0.669 0.672
In2 0.164 0.331 0.328
Hg1 0.500 0.000 0.000
I1 0.338 0.917 0.677
I2 0.668 0.581 0.335
I3 0.662 0.083 0.323
I4 0.999 0.244 0.997
I5 0.001 0.756 0.003
I6 0.332 0.419 0.665

Values from the calculation:
- uncorrected formation energy (eV per atom) = -0.468
- N(E_F) (states/eV/f.u.) = 5.296
- M_tot (Bohr magnetons per cell) = 0.00

(6)
Crystalline Tl2In3HgI8 at its relaxed geometry, computed with PBE.

Cell: 9.444 9.444 10.121 Å, 62.19 62.19 60.00°
Sites, in units of the cell vectors:
Tl1 0.136 0.136 0.591
Tl2 0.492 0.492 0.524
In1 0.508 0.988 0.996
In2 0.988 0.508 0.996
In3 0.508 0.508 0.996
Hg1 0.873 0.873 0.381
I1 0.272 0.272 0.184
I2 0.761 0.761 0.718
I3 0.241 0.241 0.795
I4 0.723 0.241 0.795
I5 0.241 0.723 0.795
I6 0.753 0.245 0.250
I7 0.245 0.753 0.250
I8 0.753 0.753 0.250

Values from the calculation:
- uncorrected formation energy (eV per atom) = -0.429
- N(E_F) (states/eV/f.u.) = 10.430
- M_tot (Bohr magnetons per cell) = 0.00

(7)
Crystalline TlInHgI2 at its relaxed geometry, computed with PBE.

Cell: 6.394 6.394 5.579 Å, 90.00 90.00 90.00°
Sites, in units of the cell vectors:
I1 0.000 0.500 0.000
I2 0.500 0.000 0.000
Tl1 0.500 0.500 0.500
Hg1 0.000 0.000 0.500
In1 0.000 0.000 0.000

Values from the calculation:
- uncorrected formation energy (eV per atom) = -0.294
- N(E_F) (states/eV/f.u.) = 0.849
- M_tot (Bohr magnetons per cell) = 0.00

(8)
Crystalline UIn2HgI6 at its relaxed geometry, computed with PBE.

Cell: 9.363 9.363 9.363 Å, 54.36 54.36 54.36°
Sites, in units of the cell vectors:
U1 0.015 0.015 0.015
In1 0.195 0.195 0.195
In2 0.673 0.673 0.673
Hg1 0.513 0.513 0.513
I1 0.395 0.047 0.829
I2 0.047 0.829 0.395
I3 0.964 0.226 0.643
I4 0.643 0.964 0.226
I5 0.829 0.395 0.047
I6 0.226 0.643 0.964

Values from the calculation:
- uncorrected formation energy (eV per atom) = -0.586
- N(E_F) (states/eV/f.u.) = 11.220
- M_tot (Bohr magnetons per cell) = 2.00

(9)
Crystalline ZnIn2HgI at its relaxed geometry, computed with PBE.

Cell: 5.411 5.411 5.330 Å, 90.00 90.00 90.00°
Sites, in units of the cell vectors:
I1 0.500 0.500 0.500
Zn1 0.000 0.000 0.000
Hg1 0.000 0.000 0.500
In1 0.000 0.500 0.000
In2 0.500 0.000 0.000

Values from the calculation:
- uncorrected formation energy (eV per atom) = -0.060
- N(E_F) (states/eV/f.u.) = 0.708
- M_tot (Bohr magnetons per cell) = 0.00

(10)
Crystalline Zn2In2HgI6 at its relaxed geometry, computed with PBE.

Cell: 7.901 8.585 8.883 Å, 105.90 103.01 54.09°
Sites, in units of the cell vectors:
Zn1 0.994 0.830 0.836
Zn2 0.006 0.170 0.164
In1 0.129 0.197 0.733
In2 0.871 0.803 0.267
Hg1 0.500 0.000 0.500
I1 0.254 0.773 0.107
I2 0.230 0.300 0.163
I3 0.205 0.718 0.601
I4 0.770 0.700 0.837
I5 0.795 0.282 0.399
I6 0.746 0.227 0.893

Values from the calculation:
- uncorrected formation energy (eV per atom) = -0.473
- N(E_F) (states/eV/f.u.) = 0.000
- M_tot (Bohr magnetons per cell) = 0.00

(11)
Crystalline ZnInHgI2 at its relaxed geometry, computed with PBE.

Cell: 5.952 5.952 5.182 Å, 90.00 90.00 90.00°
Sites, in units of the cell vectors:
I1 0.000 0.500 0.000
I2 0.500 0.000 0.000
Zn1 0.000 0.000 0.000
Hg1 0.000 0.000 0.500
In1 0.500 0.500 0.500

Values from the calculation:
- uncorrected formation energy (eV per atom) = -0.171
- N(E_F) (states/eV/f.u.) = 1.477
- M_tot (Bohr magnetons per cell) = 0.00

(12)
Crystalline ZrInHgI6 at its relaxed geometry, computed with PBE.

Cell: 7.691 7.692 9.354 Å, 90.00 90.00 59.99°
Sites, in units of the cell vectors:
Zr1 0.333 0.333 0.500
In1 0.667 0.667 0.500
Hg1 0.000 0.000 0.000
I1 0.019 0.355 0.318
I2 0.354 0.019 0.682
I3 0.626 0.355 0.682
I4 0.019 0.626 0.682
I5 0.355 0.626 0.318
I6 0.626 0.019 0.318

Values from the calculation:
- uncorrected formation energy (eV per atom) = -0.628
- N(E_F) (states/eV/f.u.) = 6.731
- M_tot (Bohr magnetons per cell) = 0.00